# 1
Entry from Alexandria: Ac5ErIn4 after structural relaxation (PBE-GGA).

a b c (Å): 4.055 4.055 21.559
angles (deg): 90.00 90.00 90.00
Fractional positions:
Ac1 0.000 0.000 0.000
Ac2 0.000 0.000 0.197
Ac3 0.000 0.000 0.390
Ac4 0.000 0.000 0.610
Ac5 0.000 0.000 0.803
Er1 0.500 0.500 0.500
In1 0.500 0.500 0.098
In2 0.500 0.500 0.295
In3 0.500 0.500 0.705
In4 0.500 0.500 0.902

Symmetry: P4/mmm, No. 123
Total moment in μB/atom: 0.00



# 2
Entry from Alexandria: Ce2SmPt9 after structural relaxation (PBE-GGA).

a b c (Å): 9.497 9.497 9.497
angles (deg): 33.24 33.24 33.24
Fractional positions:
Ce1 0.139 0.139 0.139
Ce2 0.861 0.861 0.861
Sm1 0.000 0.000 0.000
Pt1 0.081 0.587 0.587
Pt2 0.333 0.333 0.333
Pt3 0.413 0.413 0.919
Pt4 0.413 0.919 0.413
Pt5 0.500 0.500 0.500
Pt6 0.587 0.081 0.587
Pt7 0.587 0.587 0.081
Pt8 0.667 0.667 0.667
Pt9 0.919 0.413 0.413

Symmetry: R-3m, No. 166
Excess energy over the best structure of this formula in the dataset in eV/atom: 0.0716
Total moment in μB/atom: 0.08



One value per record, in order, for formation energy from the elements: -0.305; -0.911 eV per atom.